# 1
First-principles (PBE-GGA) data for GaSbSe3 after structural relaxation, as listed in the Alexandria database.

Cell: 8.0548 10.8744 6.6917 Å, 90.00 90.00 90.00°
With the nearest neighbours (Å) after each atom.
Fractional coordinates of all 20 atoms:
Ga 0.1730 0.2500 0.0350  3 Se 2.39-2.54
Ga 0.3270 0.7500 0.5350  3 Se 2.39-2.54
Ga 0.6730 0.2500 0.4650  3 Se 2.39-2.54
Ga 0.8270 0.7500 0.9650  3 Se 2.39-2.54
Sb 0.0000 0.0000 0.5000  6 Se 2.83-2.91
Sb 0.0000 0.5000 0.5000  6 Se 2.83-2.91
Sb 0.5000 0.0000 0.0000  6 Se 2.83-2.91
Sb 0.5000 0.5000 0.0000  6 Se 2.83-2.91
Se 0.0100 0.7500 0.6559  2 Ga 2.54-2.68
Se 0.1751 0.0563 0.8671  1 Ga 2.39
Se 0.1751 0.4437 0.8671  1 Ga 2.39
Se 0.3249 0.5563 0.3671  1 Ga 2.39
Se 0.3249 0.9437 0.3671  1 Ga 2.39
Se 0.4900 0.2500 0.1559  2 Ga 2.54-2.68
Se 0.5100 0.7500 0.8441  2 Ga 2.54-2.68
Se 0.6751 0.0563 0.6329  1 Ga 2.39
Se 0.6751 0.4437 0.6329  1 Ga 2.39
Se 0.8249 0.5563 0.1329  1 Ga 2.39
Se 0.8249 0.9437 0.1329  1 Ga 2.39
Se 0.9900 0.2500 0.3441  2 Ga 2.54-2.68

Results
Uncorrected formation energy (eV/atom): -0.27



# 2
First-principles (PBE-GGA) data for ZnInPb2Br after structural relaxation, as listed in the Alexandria database.

Cell: 5.4057 5.4057 5.5366 Å, 90.00 90.00 90.00°
With the nearest neighbours (Å) after each atom.
Fractional coordinates of all 5 atoms:
Zn 0.0000 0.0000 0.0000  4 Pb 2.70, 2 Br 2.77
In 0.5000 0.5000 0.5000  4 Br 3.82, 8 Pb 3.87
Pb 0.0000 0.5000 0.0000  2 Zn 2.70
Pb 0.5000 0.0000 0.0000  2 Zn 2.70
Br 0.0000 0.0000 0.5000  2 Zn 2.77

Results
Uncorrected formation energy (eV/atom): 0.18



# 3
First-principles (PBE-GGA) data for MgCd2Sn after structural relaxation, as listed in the Alexandria database.

Cell: 4.3864 4.3864 20.9549 Å, 90.00 90.00 90.00°
With the nearest neighbours (Å) after each atom.
Fractional coordinates of all 16 atoms:
Mg 0.0000 0.0000 0.0000  4 Cd 3.02, 4 Sn 3.10
Mg 0.0000 0.5000 0.2500  4 Cd 3.02, 4 Sn 3.10
Mg 0.5000 0.0000 0.7500  4 Cd 3.02, 4 Sn 3.10
Mg 0.5000 0.5000 0.5000  4 Cd 3.02, 4 Sn 3.10
Cd 0.2363 0.2500 0.1250  4 Cd 3.02-3.19, 2 Mg 3.02, 2 Sn 3.07
Cd 0.2500 0.7363 0.3750  4 Cd 3.02-3.19, 2 Mg 3.02, 2 Sn 3.07
Cd 0.2500 0.7637 0.8750  4 Cd 3.02-3.19, 2 Mg 3.02, 2 Sn 3.07
Cd 0.2637 0.2500 0.6250  4 Cd 3.02-3.19, 2 Mg 3.02, 2 Sn 3.07
Cd 0.7363 0.7500 0.6250  4 Cd 3.02-3.19, 2 Mg 3.02, 2 Sn 3.07
Cd 0.7500 0.2363 0.8750  4 Cd 3.02-3.19, 2 Mg 3.02, 2 Sn 3.07
Cd 0.7500 0.2637 0.3750  4 Cd 3.02-3.19, 2 Mg 3.02, 2 Sn 3.07
Cd 0.7637 0.7500 0.1250  4 Cd 3.02-3.19, 2 Mg 3.02, 2 Sn 3.07
Sn 0.0000 0.0000 0.5000  4 Cd 3.07, 4 Mg 3.10
Sn 0.0000 0.5000 0.7500  4 Cd 3.07, 4 Mg 3.10
Sn 0.5000 0.0000 0.2500  4 Cd 3.07, 4 Mg 3.10
Sn 0.5000 0.5000 0.0000  4 Cd 3.07, 4 Mg 3.10

Results
Formation enthalpy at 0 K (eV per atom): 0.03



# 4
First-principles (PBE-GGA) data for Th4GeTeS2 after structural relaxation, as listed in the Alexandria database.

Cell: 5.9981 5.9981 11.9755 Å, 90.00 90.00 90.00°
With the nearest neighbours (Å) after each atom.
Fractional coordinates of all 16 atoms:
Th 0.0000 0.0000 0.2418  1 Ge 2.90, 4 S 3.00, 1 Te 3.09
Th 0.0000 0.0000 0.7582  1 Ge 2.90, 4 S 3.00, 1 Te 3.09
Th 0.0000 0.5000 0.0000  2 S 2.99, 2 Te 3.00, 2 Ge 3.00
Th 0.0000 0.5000 0.5000  2 S 2.99, 2 Ge 3.00, 2 Te 3.00
Th 0.5000 0.0000 0.0000  2 S 2.99, 2 Te 3.00, 2 Ge 3.00
Th 0.5000 0.0000 0.5000  2 S 2.99, 2 Ge 3.00, 2 Te 3.00
Th 0.5000 0.5000 0.2582  1 Ge 2.90, 4 S 3.00, 1 Te 3.09
Th 0.5000 0.5000 0.7418  1 Ge 2.90, 4 S 3.00, 1 Te 3.09
Ge 0.0000 0.0000 0.0000  6 Th 2.90-3.00
Ge 0.5000 0.5000 0.5000  6 Th 2.90-3.00
Te 0.0000 0.0000 0.5000  6 Th 3.00-3.09
Te 0.5000 0.5000 0.0000  6 Th 3.00-3.09
S 0.0000 0.5000 0.2500  6 Th 2.99-3.00
S 0.0000 0.5000 0.7500  6 Th 2.99-3.00
S 0.5000 0.0000 0.2500  6 Th 2.99-3.00
S 0.5000 0.0000 0.7500  6 Th 2.99-3.00

Results
Uncorrected formation energy (eV/atom): -1.30



# 5
First-principles (PBE-GGA) data for KOs2Au after structural relaxation, as listed in the Alexandria database.

Cell: 12.2604 2.7036 4.8501 Å, 90.00 112.97 90.00°
With the nearest neighbours (Å) after each atom.
Fractional coordinates of all 8 atoms:
K 0.0000 0.0000 0.0000  2 K 2.70, 4 Au 2.78
K 0.5000 0.5000 0.0000  2 K 2.70, 4 Au 2.78
Os 0.2219 0.0000 0.7059  6 Os 2.70-2.98, 2 Au 2.85
Os 0.2781 0.5000 0.2941  6 Os 2.70-2.98, 2 Au 2.85
Os 0.7219 0.5000 0.7059  6 Os 2.70-2.98, 2 Au 2.85
Os 0.7781 0.0000 0.2941  6 Os 2.70-2.98, 2 Au 2.85
Au 0.0000 0.5000 0.5000  2 Au 2.70, 4 K 2.78, 4 Os 2.85
Au 0.5000 0.0000 0.5000  2 Au 2.70, 4 K 2.78, 4 Os 2.85

Results
Formation enthalpy at 0 K (eV per atom): 0.94



# 6
First-principles (PBE-GGA) data for Ce2SmCu9 after structural relaxation, as listed in the Alexandria database.

Cell: 8.9560 8.9560 8.9560 Å, 33.51 33.51 33.51°
With the nearest neighbours (Å) after each atom.
Fractional coordinates of all 12 atoms:
Ce 0.1472 0.1472 0.1472  12 Cu 3.02-3.09, 3 Ce 3.14
Ce 0.8528 0.8528 0.8528  12 Cu 3.02-3.09, 3 Ce 3.14
Sm 0.0000 0.0000 0.0000  18 Cu 2.98-3.29
Cu 0.0852 0.5781 0.5781  7 Cu 2.50-2.63
Cu 0.3315 0.3315 0.3315  6 Cu 2.50-2.55
Cu 0.4219 0.4219 0.9148  7 Cu 2.50-2.63
Cu 0.4219 0.9148 0.4219  7 Cu 2.50-2.63
Cu 0.5000 0.5000 0.5000  6 Cu 2.63
Cu 0.5781 0.0852 0.5781  7 Cu 2.50-2.63
Cu 0.5781 0.5781 0.0852  7 Cu 2.50-2.63
Cu 0.6685 0.6685 0.6685  6 Cu 2.50-2.55
Cu 0.9148 0.4219 0.4219  7 Cu 2.50-2.63

Results
Formation enthalpy at 0 K (eV per atom): -0.13



# 7
First-principles (PBE-GGA) data for Mo2IrAu after structural relaxation, as listed in the Alexandria database.

Cell: 2.7756 4.0942 5.5610 Å, 90.00 90.13 90.00°
With the nearest neighbours (Å) after each atom.
Fractional coordinates of all 4 atoms:
Mo 0.0012 0.0000 0.2693  3 Mo 2.57-2.78, 4 Ir 2.78-2.79
Mo 0.9988 0.0000 0.7307  3 Mo 2.57-2.78, 4 Ir 2.78-2.79
Ir 0.5000 0.5000 0.5000  2 Ir 2.78, 2 Au 2.78, 8 Mo 2.78-2.79
Au 0.5000 0.5000 0.0000  2 Au 2.78, 2 Ir 2.78, 8 Mo 2.89

Results
Formation enthalpy at 0 K (eV per atom): 0.00



# 8
First-principles (PBE-GGA) data for CaGa4Ni2Rh after structural relaxation, as listed in the Alexandria database.

Cell: 9.5068 9.5068 9.5068 Å, 24.94 24.94 24.94°
With the nearest neighbours (Å) after each atom.
Fractional coordinates of all 8 atoms:
Ca 0.0000 0.0000 0.0000  6 Ga 3.08
Ga 0.1298 0.1298 0.1298  4 Ni 2.46-2.70, 3 Rh 2.58
Ga 0.4044 0.4044 0.4044  3 Ni 2.56, 1 Rh 2.64
Ga 0.5956 0.5956 0.5956  3 Ni 2.56, 1 Rh 2.64
Ga 0.8702 0.8702 0.8702  4 Ni 2.46-2.70, 3 Rh 2.58
Ni 0.2274 0.2274 0.2274  7 Ga 2.46-2.70
Ni 0.7726 0.7726 0.7726  7 Ga 2.46-2.70
Rh 0.5000 0.5000 0.5000  8 Ga 2.58-2.64

Results
Formation enthalpy at 0 K (eV per atom): -0.47



# 9
First-principles (PBE-GGA) data for Rb2TlSb2 after structural relaxation, as listed in the Alexandria database.

Cell: 7.0248 7.0248 9.6332 Å, 100.25 100.25 63.53°
With the nearest neighbours (Å) after each atom.
Fractional coordinates of all 10 atoms:
Rb 0.0104 0.2864 0.1396  6 Sb 3.77-4.02, 2 Tl 3.91-4.14
Rb 0.2864 0.0104 0.6396  6 Sb 3.77-4.02, 2 Tl 3.91-4.14
Rb 0.7136 0.9896 0.3604  6 Sb 3.77-4.02, 2 Tl 3.91-4.14
Rb 0.9896 0.7136 0.8604  6 Sb 3.77-4.02, 2 Tl 3.91-4.14
Tl 0.4304 0.5696 0.2500  4 Sb 3.17-3.23
Tl 0.5696 0.4304 0.7500  4 Sb 3.17-3.23
Sb 0.2024 0.5110 0.4926  1 Sb 2.95, 2 Tl 3.17-3.23
Sb 0.4890 0.7976 0.0074  1 Sb 2.95, 2 Tl 3.17-3.23
Sb 0.5110 0.2024 0.9926  1 Sb 2.95, 2 Tl 3.17-3.23
Sb 0.7976 0.4890 0.5074  1 Sb 2.95, 2 Tl 3.17-3.23

Results
Uncorrected formation energy (eV/atom): -0.31



# 10
First-principles (PBE-GGA) data for Ac2Pm3Au4 after structural relaxation, as listed in the Alexandria database.

Cell: 8.0868 7.9309 8.7442 Å, 90.00 109.96 90.00°
With the nearest neighbours (Å) after each atom.
Fractional coordinates of all 18 atoms:
Ac 0.1949 0.1713 0.0940  5 Au 3.29-3.45
Ac 0.1949 0.3287 0.5940  5 Au 3.29-3.45
Ac 0.8051 0.6713 0.4060  5 Au 3.29-3.45
Ac 0.8051 0.8287 0.9060  5 Au 3.29-3.45
Pm 0.2442 0.6504 0.2518  6 Au 3.05-3.17
Pm 0.2442 0.8496 0.7518  6 Au 3.05-3.17
Pm 0.5000 0.0000 0.5000  6 Au 3.07-3.43
Pm 0.5000 0.5000 0.0000  6 Au 3.07-3.43
Pm 0.7558 0.1504 0.2482  6 Au 3.05-3.17
Pm 0.7558 0.3496 0.7482  6 Au 3.05-3.17
Au 0.0988 0.5463 0.8812  4 Pm 3.05-3.16, 1 Au 3.11, 2 Ac 3.33-3.35
Au 0.0988 0.9537 0.3812  4 Pm 3.05-3.16, 1 Au 3.11, 2 Ac 3.33-3.35
Au 0.4865 0.6338 0.6228  5 Pm 3.07-3.43, 1 Au 3.08, 2 Ac 3.29-3.33
Au 0.4865 0.8662 0.1228  5 Pm 3.07-3.43, 1 Au 3.08, 2 Ac 3.29-3.33
Au 0.5135 0.1338 0.8772  5 Pm 3.07-3.43, 1 Au 3.08, 2 Ac 3.29-3.33
Au 0.5135 0.3662 0.3772  5 Pm 3.07-3.43, 1 Au 3.08, 2 Ac 3.29-3.33
Au 0.9012 0.0463 0.6188  4 Pm 3.05-3.16, 1 Au 3.11, 2 Ac 3.33-3.35
Au 0.9012 0.4537 0.1188  4 Pm 3.05-3.16, 1 Au 3.11, 2 Ac 3.33-3.35

Results
Formation enthalpy at 0 K (eV per atom): -0.72



# 11
First-principles (PBE-GGA) data for TbHoTlRh after structural relaxation, as listed in the Alexandria database.

Cell: 3.5324 3.5324 7.6226 Å, 90.00 90.00 90.00°
With the nearest neighbours (Å) after each atom.
Fractional coordinates of all 4 atoms:
Tb 0.0000 0.0000 0.0000  4 Rh 3.01, 1 Ho 3.28, 4 Tl 3.32
Ho 0.0000 0.0000 0.5701  4 Rh 2.97, 1 Tb 3.28, 4 Tl 3.30
Tl 0.5000 0.5000 0.2876  4 Ho 3.30, 4 Tb 3.32, 4 Tl 3.53
Rh 0.5000 0.5000 0.7801  4 Ho 2.97, 4 Tb 3.01

Results
Formation enthalpy at 0 K (eV per atom): -0.62



# 12
First-principles (PBE-GGA) data for CaHo2Er after structural relaxation, as listed in the Alexandria database.

Cell: 3.5837 3.5837 10.3329 Å, 90.00 90.00 90.00°
With the nearest neighbours (Å) after each atom.
Fractional coordinates of all 4 atoms:
Ca 0.0000 0.0000 0.0000  4 Ca 3.58, 8 Ho 3.78
Ho 0.5000 0.5000 0.2708  4 Er 3.47, 4 Ho 3.58, 4 Ca 3.78
Ho 0.5000 0.5000 0.7292  4 Er 3.47, 4 Ho 3.58, 4 Ca 3.78
Er 0.0000 0.0000 0.5000  8 Ho 3.47, 4 Er 3.58

Results
Formation enthalpy at 0 K (eV per atom): 0.08